Entry 1:
Here is a geometry-optimized V7Re3Mo2 structure from the Alexandria database. Energies are from PBE.

Properties
calculated total energy: -120.4 eV per formula unit
magnetization: 0.00 μB/cell
formation energy: 2.465 eV/f.u.

a = 4.250 Å, b = 20.781 Å, c = 4.216 Å
α = 90.00°, β = 90.00°, γ = 90.00°
Space group Cmmm (No. 65)
Unique sites:
V (0.000, 0.000, 0.000) (multiplicity 2)
V (0.000, 0.073, 0.500) (multiplicity 4)
V (0.000, 0.286, 0.000) (multiplicity 4)
V (0.000, 0.428, 0.000) (multiplicity 4)
Re (0.000, 0.354, 0.500) (multiplicity 4)
Re (0.000, 0.500, 0.500) (multiplicity 2)
Mo (0.000, 0.147, 0.000) (multiplicity 4)

Entry 2:
Here is a geometry-optimized V4Re3Mo2 structure from the Alexandria database. Energies are from PBE.

Properties
calculated total energy: -97.9 eV per formula unit
magnetization: 0.00 μB/cell
formation energy: -2.435 eV/f.u.

a = 4.3279 Å, b = 4.3279 Å, c = 7.9816 Å
α = 90.00°, β = 90.00°, γ = 120.00°
Space group P-3m1 (No. 164)
Unique sites:
V (0.0000, 0.0000, 0.1691) (multiplicity 2)
V (0.3333, 0.6667, 0.6113) (multiplicity 2)
Re (0.0000, 0.0000, 0.5000) (multiplicity 1)
Re (0.3333, 0.6667, 0.9445) (multiplicity 2)
Mo (0.3333, 0.6667, 0.2785) (multiplicity 2)

Entry 3:
Here is a geometry-optimized V2ReMo8 structure from the Alexandria database. Energies are from PBE.

Properties
calculated total energy: -107.5 eV per formula unit
magnetization: 0.00 μB/cell
formation energy: 9.797 eV/f.u.

a = 5.740 Å, b = 5.740 Å, c = 5.954 Å
α = 90.00°, β = 90.00°, γ = 90.00°
Space group P4/mmm (No. 123)
Unique sites:
V (0.000, 0.500, 0.000) (multiplicity 2)
Re (0.000, 0.000, 0.500) (multiplicity 1)
Mo (0.271, 0.271, 0.258) (multiplicity 8)

Entry 4:
Here is a geometry-optimized V2ReMo6 structure from the Alexandria database. Energies are from PBE.

Properties
calculated total energy: -95.5 eV per formula unit
energy above the lowest structure with this stoichiometry: 0.000 eV per atom
magnetization: 0.00 μB/cell
formation energy: 0.181 eV/f.u.

a = 7.806 Å, b = 7.938 Å, c = 4.470 Å
α = 90.00°, β = 90.00°, γ = 90.00°
Space group Pnnm (No. 58)
Unique sites:
V (0.162, 0.233, 0.000) (multiplicity 4)
Re (0.000, 0.000, 0.500) (multiplicity 2)
Mo (0.001, 0.669, 0.500) (multiplicity 4)
Mo (0.165, 0.569, 0.000) (multiplicity 4)
Mo (0.165, 0.901, 0.000) (multiplicity 4)

Entry 5:
Here is a geometry-optimized V2ReMo structure from the Alexandria database. Energies are from PBE.

Properties
calculated total energy: -42.6 eV per formula unit
energy above the lowest structure with this stoichiometry: 0.000 eV per atom
magnetization: 0.00 μB/cell
formation energy: -1.107 eV/f.u.

a = 6.108 Å, b = 6.108 Å, c = 6.108 Å
α = 90.00°, β = 90.00°, γ = 90.00°
Space group Fm-3m (No. 225)
Unique sites:
V (0.250, 0.250, 0.250) (multiplicity 8)
Re (0.000, 0.000, 0.000) (multiplicity 4)
Mo (0.000, 0.000, 0.500) (multiplicity 4)

Entry 6:
Here is a geometry-optimized VReMo3 structure from the Alexandria database. Energies are from PBE.

Properties
calculated total energy: -51.6 eV per formula unit
energy above the lowest structure with this stoichiometry: 0.000 eV per atom
magnetization: 0.00 μB/cell
formation energy: 2.477 eV/f.u.

a = 14.216 Å, b = 11.556 Å, c = 4.341 Å
α = 90.00°, β = 107.73°, γ = 90.00°
Space group C2/c (No. 15)
Unique sites:
V (0.000, 0.058, 0.250) (multiplicity 4)
V (0.000, 0.200, 0.750) (multiplicity 4)
Re (0.202, 0.414, 0.453) (multiplicity 8)
Mo (0.097, 0.391, 0.848) (multiplicity 8)
Mo (0.128, 0.217, 0.379) (multiplicity 8)
Mo (0.156, 0.071, 0.905) (multiplicity 8)